Record 1
Compound: CsSn3I
Source: the Alexandria database
Functional: PBE
Structure: optimized geometry

Cell lengths 6.0823, 6.0823, 6.0823 Å; angles 90.00, 90.00, 90.00 degrees
Last column: nearest neighbours and their distance in Å.
Positions (direct):
Cs (0.0000, 0.0000, 0.0000)  12 Sn 4.30
Sn (0.0000, 0.5000, 0.5000)  2 I 3.04
Sn (0.5000, 0.0000, 0.5000)  2 I 3.04
Sn (0.5000, 0.5000, 0.0000)  2 I 3.04
I (0.5000, 0.5000, 0.5000)  6 Sn 3.04

Raw total energy in eV/cell: -12.19
Calculated density in g/cm³: 4.55
Density of states at the Fermi level in states/eV per cell: 3.913
M_tot in Bohr magnetons per cell: 0.00



Record 2
Compound: CsSnI3
Source: the Alexandria database
Functional: PBE
Structure: optimized geometry

Cell lengths 8.9349, 12.5156, 8.6590 Å; angles 90.00, 90.00, 90.00 degrees
Last column: nearest neighbours and their distance in Å.
Positions (direct):
Cs (0.0602, 0.2500, 0.0177)  8 I 3.96-4.22
Cs (0.4398, 0.7500, 0.5177)  8 I 3.96-4.22
Cs (0.5602, 0.2500, 0.4823)  8 I 3.96-4.22
Cs (0.9398, 0.7500, 0.9823)  8 I 3.96-4.22
Sn (0.0000, 0.0000, 0.5000)  6 I 3.17-3.19
Sn (0.0000, 0.5000, 0.5000)  6 I 3.17-3.19
Sn (0.5000, 0.0000, 0.0000)  6 I 3.17-3.19
Sn (0.5000, 0.5000, 0.0000)  6 I 3.17-3.19
I (0.0036, 0.7500, 0.4379)  2 Sn 3.17
I (0.2064, 0.5314, 0.7958)  2 Sn 3.18-3.19
I (0.2064, 0.9686, 0.7958)  2 Sn 3.18-3.19
I (0.2936, 0.0314, 0.2958)  2 Sn 3.18-3.19
I (0.2936, 0.4686, 0.2958)  2 Sn 3.18-3.19
I (0.4964, 0.2500, 0.9379)  2 Sn 3.17
I (0.5036, 0.7500, 0.0621)  2 Sn 3.17
I (0.7064, 0.5314, 0.7042)  2 Sn 3.18-3.19
I (0.7064, 0.9686, 0.7042)  2 Sn 3.18-3.19
I (0.7936, 0.0314, 0.2042)  2 Sn 3.18-3.19
I (0.7936, 0.4686, 0.2042)  2 Sn 3.18-3.19
I (0.9964, 0.2500, 0.5621)  2 Sn 3.17

Raw total energy in eV/cell: -56.97
Calculated density in g/cm³: 4.34
M_tot in Bohr magnetons per cell: 0.00



Record 3
Compound: CsSn4I8
Source: the Alexandria database
Functional: PBE
Structure: optimized geometry

Cell lengths 9.5186, 9.5771, 10.5729 Å; angles 63.29, 63.28, 60.28 degrees
Last column: nearest neighbours and their distance in Å.
Positions (direct):
Cs (0.0000, 0.0000, 0.0000)  6 I 3.93-3.94
Sn (0.0000, 0.0000, 0.5000)  6 I 3.24-3.27
Sn (0.0000, 0.5000, 0.5000)  6 I 3.26
Sn (0.5000, 0.0000, 0.5000)  6 I 3.24-3.27
Sn (0.5000, 0.5000, 0.5000)  6 I 3.24-3.26
I (0.2299, 0.2300, 0.3104)  3 Sn 3.24-3.26
I (0.2321, 0.7296, 0.3086)  3 Sn 3.24-3.27
I (0.2702, 0.2705, 0.6913)  3 Sn 3.24-3.27
I (0.2701, 0.7682, 0.6914)  3 Sn 3.26
I (0.7299, 0.2318, 0.3086)  3 Sn 3.26
I (0.7298, 0.7295, 0.3087)  3 Sn 3.24-3.27
I (0.7679, 0.2704, 0.6914)  3 Sn 3.24-3.27
I (0.7701, 0.7700, 0.6896)  3 Sn 3.24-3.26

Raw total energy in eV/cell: -36.59
Calculated density in g/cm³: 3.77
Density of states at the Fermi level in states/eV per cell: 2.768
M_tot in Bohr magnetons per cell: 0.00



Record 4
Compound: Cs4SnI6
Source: the Alexandria database
Functional: PBE
Structure: optimized geometry

Cell lengths 10.5796, 10.5796, 10.5796 Å; angles 89.19, 89.19, 89.19 degrees
Last column: nearest neighbours and their distance in Å.
Positions (direct):
Cs (0.1294, 0.7500, 0.3706)  8 I 3.96-4.12
Cs (0.2500, 0.2500, 0.2500)  6 I 3.83
Cs (0.2500, 0.6294, 0.8706)  8 I 3.96-4.12
Cs (0.3706, 0.1294, 0.7500)  8 I 3.96-4.12
Cs (0.6294, 0.8706, 0.2500)  8 I 3.96-4.12
Cs (0.7500, 0.3706, 0.1294)  8 I 3.96-4.12
Cs (0.7500, 0.7500, 0.7500)  6 I 3.83
Cs (0.8706, 0.2500, 0.6294)  8 I 3.96-4.12
Sn (0.0000, 0.0000, 0.0000)  6 I 3.24
Sn (0.5000, 0.5000, 0.5000)  6 I 3.24
I (0.0599, 0.9299, 0.7081)  1 Sn 3.24
I (0.0701, 0.2919, 0.9401)  1 Sn 3.24
I (0.2081, 0.4299, 0.5599)  1 Sn 3.24
I (0.2919, 0.9401, 0.0701)  1 Sn 3.24
I (0.4299, 0.5599, 0.2081)  1 Sn 3.24
I (0.4401, 0.7919, 0.5701)  1 Sn 3.24
I (0.5599, 0.2081, 0.4299)  1 Sn 3.24
I (0.5701, 0.4401, 0.7919)  1 Sn 3.24
I (0.7081, 0.0599, 0.9299)  1 Sn 3.24
I (0.7919, 0.5701, 0.4401)  1 Sn 3.24
I (0.9299, 0.7081, 0.0599)  1 Sn 3.24
I (0.9401, 0.0701, 0.2919)  1 Sn 3.24

Raw total energy in eV/cell: -61.79
Calculated density in g/cm³: 3.96
Density of states at the Fermi level in states/eV per cell: 0.000
M_tot in Bohr magnetons per cell: 0.00



Record 5
Compound: Cs3SnI
Source: the Alexandria database
Functional: PBE
Structure: optimized geometry

Cell lengths 7.2269, 7.2269, 7.2269 Å; angles 90.00, 90.00, 90.00 degrees
Last column: nearest neighbours and their distance in Å.
Positions (direct):
Cs (0.0000, 0.0000, 0.5000)  2 I 3.61
Cs (0.0000, 0.5000, 0.0000)  2 I 3.61
Cs (0.5000, 0.0000, 0.0000)  2 I 3.61
Sn (0.5000, 0.5000, 0.5000)  12 Cs 5.11
I (0.0000, 0.0000, 0.0000)  6 Cs 3.61

Raw total energy in eV/cell: -10.11
Calculated density in g/cm³: 2.83
Density of states at the Fermi level in states/eV per cell: 2.589
M_tot in Bohr magnetons per cell: 2.00



Record 6
Compound: Cs4SrSn3I12
Source: the Alexandria database
Functional: PBE
Structure: optimized geometry

Cell lengths 10.9694, 10.9694, 10.9694 Å; angles 109.47, 109.47, 109.47 degrees
Last column: nearest neighbours and their distance in Å.
Positions (direct):
Cs (0.0000, 0.0000, 0.5000)  12 I 4.48
Cs (0.0000, 0.5000, 0.0000)  12 I 4.48
Cs (0.5000, 0.0000, 0.0000)  12 I 4.48
Cs (0.5000, 0.5000, 0.5000)  12 I 4.48
Sr (0.0000, 0.0000, 0.0000)  6 I 3.21
Sn (0.0000, 0.5000, 0.5000)  6 I 3.12-3.17
Sn (0.5000, 0.0000, 0.5000)  6 I 3.12-3.17
Sn (0.5000, 0.5000, 0.0000)  6 I 3.12-3.17
I (0.0000, 0.2535, 0.2535)  1 Sn 3.12, 1 Sr 3.21
I (0.0000, 0.7465, 0.7465)  1 Sn 3.12, 1 Sr 3.21
I (0.2500, 0.5000, 0.7500)  2 Sn 3.17
I (0.2500, 0.7500, 0.5000)  2 Sn 3.17
I (0.2535, 0.0000, 0.2535)  1 Sn 3.12, 1 Sr 3.21
I (0.2535, 0.2535, 0.0000)  1 Sn 3.12, 1 Sr 3.21
I (0.5000, 0.2500, 0.7500)  2 Sn 3.17
I (0.5000, 0.7500, 0.2500)  2 Sn 3.17
I (0.7465, 0.0000, 0.7465)  1 Sn 3.12, 1 Sr 3.21
I (0.7465, 0.7465, 0.0000)  1 Sn 3.12, 1 Sr 3.21
I (0.7500, 0.2500, 0.5000)  2 Sn 3.17
I (0.7500, 0.5000, 0.2500)  2 Sn 3.17

Raw total energy in eV/cell: -57.71
Calculated density in g/cm³: 4.08
M_tot in Bohr magnetons per cell: 0.00



| no. | formation energy without anion corrections (eV per atom) |
| --- | --- |
| 1 | 0.445 |
| 2 | -0.947 |
| 3 | -0.564 |
| 4 | -1.289 |
| 5 | -0.400 |
| 6 | -1.100 |